# Cd2InRh

Crystalline Cd2InRh at its relaxed geometry (GGA-PBEsol, the Alexandria database).

Computed properties:
Total magnetic moment, Bohr magnetons per cell: 0.0
Energy of formation from the pure elements, kJ per mole of atoms: -4
VASP energy, eV/cell: -13.694

a b c (Å): 4.6614 4.6614 4.6614
angles (deg): 60.00 60.00 60.00
Closest atoms and distances in Å follow each position.
Sites, in units of the cell vectors:
Cd  0.0000  0.0000  0.0000  4 Cd 2.85, 4 Rh 2.85
Cd  0.7500  0.7500  0.7500  4 Cd 2.85, 4 In 2.85
In  0.5000  0.5000  0.5000  4 Rh 2.85, 4 Cd 2.85
Rh  0.2500  0.2500  0.2500  4 Cd 2.85, 4 In 2.85


# Hf3BiAs

Crystalline Hf3BiAs at its relaxed geometry (GGA-PBEsol, the Alexandria database).

Computed properties:
Total magnetic moment, Bohr magnetons per cell: 0.0
Energy of formation from the pure elements, kJ per mole of atoms: 147
VASP energy, eV/cell: -33.273

a b c (Å): 5.2678 5.2678 5.2678
angles (deg): 90.00 90.00 90.00
Closest atoms and distances in Å follow each position.
Sites, in units of the cell vectors:
As  0.5000  0.5000  0.5000  12 Hf 3.72
Hf  0.0000  0.5000  0.0000  2 Bi 2.63
Hf  0.0000  0.0000  0.5000  2 Bi 2.63
Hf  0.5000  0.0000  0.0000  2 Bi 2.63
Bi  0.0000  0.0000  0.0000  6 Hf 2.63